# 1
A relaxed structure of AcMgTlSn. Source: the Alexandria database, functional PBE.

## Properties
Its energy relative to the lowest polymorph listed for this composition is 0.000 eV/atom. The calculated volume is 120.2 Å³ per cell. As for the formation energy: -0.37 eV/atom. Its space-group type is Pmmm, No. 47.

Geometry as POSCAR:
```
AcMgTlSn
1.0
-1.5431 -2.7555 -3.4981
4.3196 0.9069 -2.6199
2.1353 -3.9357 2.1583
Ac Mg Tl Sn
1 1 1 1
Cartesian
0.0000 0.0000 0.0000
3.2275 -1.5144 -0.2308
1.3883 -0.9243 -3.0590
0.2961 -3.3456 -0.6699
```

# 2
A relaxed structure of Ac6BiTe3Rh2. Source: the Alexandria database, functional PBE.

## Properties
The total energy is -5.5090 eV/atom. The calculated volume is 433.0 Å³ per cell. Its space-group type is C2/m, No. 12.

Geometry as POSCAR:
```
Ac6BiTe3Rh2
1.0
7.9166 -0.0042 -0.0176
-3.9600 6.8550 -0.0176
-1.3377 -2.3161 7.9941
Ac Bi Te Rh
6 1 3 2
Cartesian
4.0795 2.0570 6.2009
2.5142 4.3532 1.7105
-1.4606 2.4776 1.7580
-0.2571 4.5615 6.2009
0.1047 0.1813 6.2484
2.8759 -0.0269 1.7580
0.0000 0.0000 0.0000
-2.7779 4.6279 3.9795
5.3968 -0.0933 3.9795
1.3094 2.2673 3.9795
-0.0174 4.5779 -0.0176
3.9739 2.2728 -0.0176
```

# 3
A relaxed structure of Sr2Si3SnPd4. Source: the Alexandria database, functional PBE.

## Properties
The total energy is -5.1403 eV/atom. The calculated volume is 199.9 Å³ per cell. Its space-group type is P-4m2, No. 115.

Geometry as POSCAR:
```
Sr2Si3SnPd4
1.0
4.3757 0.0000 0.0000
0.0000 4.3757 0.0000
0.0000 0.0000 10.4427
Sr Si Sn Pd
2 3 1 4
Cartesian
2.1879 0.0000 2.5435
0.0000 2.1879 7.8992
0.0000 0.0000 5.2214
2.1879 0.0000 9.2484
0.0000 2.1879 1.1943
2.1879 2.1879 5.2214
2.1879 2.1879 0.0000
0.0000 0.0000 0.0000
2.1879 0.0000 6.7643
0.0000 2.1879 3.6784
```

# 4
A relaxed structure of Pm2NpAgSe5. Source: the Alexandria database, functional PBE.

## Properties
The total energy is -6.0618 eV/atom. The calculated volume is 454.0 Å³ per cell. Its space-group type is Cmc2_1, No. 36.

Geometry as POSCAR:
```
Pm2NpAgSe5
1.0
-4.0542 0.8032 -0.3038
0.2520 -8.7590 1.7458
-0.4404 2.4503 12.3574
Pm Np Ag Se
4 2 2 10
Cartesian
-3.7099 -3.8782 10.9924
-0.6994 -0.1868 8.8401
-0.5814 -1.3562 4.1743
-3.4874 -5.6297 3.3905
-3.3279 -3.4226 7.0980
-0.7019 -3.2667 0.7312
-2.6251 1.9274 11.8646
-1.8022 -6.4054 7.1167
-1.2890 -6.0630 1.1726
-3.0876 -0.7741 10.8942
-2.1054 -6.4276 11.1052
-1.3177 -3.1814 9.1747
-3.8962 -5.7724 8.4704
-2.7346 -0.6614 6.4795
-1.2376 -4.2715 5.2241
-2.1551 1.0218 3.1968
-2.8528 -2.7255 2.6001
-0.1971 -0.5637 1.1400
```

# 5
A relaxed structure of MgAgBi. Source: the Alexandria database, functional PBE.

## Properties
The calculated volume is 148.8 Å³ per cell. As for the formation energy: -0.08 eV/atom. Its space-group type is P-1, No. 2.

Geometry as POSCAR:
```
MgAgBi
1.0
-7.3265 -1.0987 -4.2665
-1.5195 -1.1884 2.9079
0.6606 5.4323 0.4693
Mg Bi Ag
2 2 2
Cartesian
-6.5030 -1.0922 -0.3888
-0.6460 2.4355 -0.0882
-4.0498 2.6192 -1.7772
-2.4388 4.1567 1.7707
-6.9570 1.4275 -1.6927
-7.5182 -1.1820 -3.0508
```

# 6
A relaxed structure of K2SrSnBr6. Source: the Alexandria database, functional PBE.

## Properties
The total energy is -3.3562 eV/atom. The calculated volume is 390.3 Å³ per cell. Its space-group type is R3, No. 146.

Geometry as POSCAR:
```
K2SrSnBr6
1.0
8.0821 0.0001 -0.0006
4.0411 6.9990 0.0000
4.0401 2.3335 6.8992
K Sr Sn Br
2 1 1 6
Cartesian
8.0829 4.6663 2.8355
4.0410 2.3334 6.2940
12.1222 6.9998 3.7643
4.0402 2.3328 0.2931
6.5884 1.8952 1.8282
6.4288 7.3459 1.8297
11.2294 4.7579 1.8274
9.5306 6.5377 5.3076
8.9767 2.4748 5.3099
5.7352 4.9863 5.3082
```

# 7
A relaxed structure of Hg2WAu. Source: the Alexandria database, functional PBE.

## Properties
Its energy relative to the lowest polymorph listed for this composition is 0.187 eV/atom. The calculated volume is 77.1 Å³ per cell. As for the formation energy: 0.67 eV/atom. Its space-group type is C2/m, No. 12.

Geometry as POSCAR:
```
Hg2WAu
1.0
-3.5379 4.0553 0.6362
-3.0062 3.0677 3.3043
2.8790 4.3750 1.0456
Au Hg W
1 2 1
Cartesian
-2.7488 8.6235 3.7396
-6.5101 7.1302 3.9364
-1.8664 5.7418 2.4972
-0.9163 2.8745 1.2465
```

# 8
A relaxed structure of BeAlSi2. Source: the Alexandria database, functional PBE.

## Properties
Its energy relative to the lowest polymorph listed for this composition is 0.016 eV/atom. The calculated volume is 53.8 Å³ per cell. Its space-group type is Pmm2, No. 25.

Geometry as POSCAR:
```
BeAlSi2
1.0
-0.7125 -1.9726 1.6701
1.8037 -2.3871 -2.0501
4.5711 0.8833 2.9933
Be Si Al
1 2 1
Cartesian
4.1141 -1.4903 2.1468
4.4177 0.8536 2.8929
1.6793 -1.9608 0.5524
2.3080 0.4460 1.5113
```

# 9
A relaxed structure of Zn2Ga3Ag. Source: the Alexandria database, functional PBE.

## Properties
Its energy relative to the lowest polymorph listed for this composition is 0.017 eV/atom. The calculated volume is 215.4 Å³ per cell. As for the formation energy: 0.04 eV/atom. Its space-group type is C2/m, No. 12.

Geometry as POSCAR:
```
Zn2Ga3Ag
1.0
3.2612 0.0000 0.0000
0.0000 6.7039 -1.1803
-1.6306 -3.1894 10.4125
Zn Ga Ag
4 6 2
Cartesian
0.0000 2.2017 5.6035
1.6306 1.3128 3.6287
1.6306 3.0116 7.7802
0.0000 0.5029 1.4520
0.0000 -0.4183 5.1193
0.0000 4.6777 -0.3952
0.0000 0.7625 7.8531
1.6306 3.9328 4.1129
1.6306 2.7520 1.3791
1.6306 -1.1632 9.6274
0.0000 -1.8865 7.4662
1.6306 5.4010 1.7661
```

# 10
A relaxed structure of LaAl2Au3. Source: the Alexandria database, functional PBE.

## Properties
The calculated volume is 250.4 Å³ per cell. As for the formation energy: -0.69 eV/atom. Its space-group type is Cmcm, No. 63.

Geometry as POSCAR:
```
LaAl2Au3
1.0
-5.4781 -0.1316 -0.9490
0.1614 -6.7644 0.0060
-1.1646 1.2094 6.5547
La Al Au
2 4 6
Cartesian
-1.6809 -1.7572 1.7992
-4.8004 -3.9294 3.8125
-2.8543 -5.1663 0.8980
-0.1153 -5.1005 1.3725
-0.8879 -0.4545 5.1882
-3.6270 -0.5202 4.7137
-4.1687 -3.1828 0.0630
-4.6451 -0.3185 2.4154
-2.3125 -2.5038 5.5486
-4.1689 -0.4328 -0.3172
-2.3124 -5.2538 5.9289
-1.8362 -5.3681 3.1962
```

# 11
A relaxed structure of ErZnPtRh. Source: the Alexandria database, functional PBE.

## Properties
Its energy relative to the lowest polymorph listed for this composition is 0.000 eV/atom. The calculated volume is 67.4 Å³ per cell. As for the formation energy: -0.86 eV/atom. Its space-group type is Pmmm, No. 47.

Geometry as POSCAR:
```
ErZnPtRh
1.0
-0.8698 -2.6848 2.3917
1.4780 -2.8834 -2.6992
3.9194 0.3290 1.7947
Er Zn Pt Rh
1 1 1 1
Cartesian
1.5248 -1.1779 2.0932
0.3041 -2.7841 -0.1538
0.0000 0.0000 0.0000
2.6987 -1.2772 -0.4523
```

# 12
A relaxed structure of NaMg2CdCu. Source: the Alexandria database, functional PBE.

## Properties
The calculated volume is 125.4 Å³ per cell. As for the formation energy: 0.07 eV/atom. Its space-group type is P4/mmm, No. 123.

Geometry as POSCAR:
```
NaMg2CdCu
1.0
-1.3920 2.3100 4.1940
-4.5350 -2.0371 -0.3832
1.5541 -3.9677 2.7012
Na Mg Cu Cd
1 2 1 1
Cartesian
-2.1865 -1.8474 3.2560
-2.2675 -1.0186 -0.1916
-0.6960 1.1550 2.0970
0.0000 0.0000 0.0000
0.7770 -1.9838 1.3506
```

# 13
A relaxed structure of NiPtAu2. Source: the Alexandria database, functional PBE.

## Properties
Its energy relative to the lowest polymorph listed for this composition is 0.065 eV/atom. The calculated volume is 63.4 Å³ per cell. As for the formation energy: 0.08 eV/atom. Its space-group type is Cm, No. 8.

Geometry as POSCAR:
```
NiPtAu2
1.0
-3.0819 2.9612 -2.4007
-4.6817 1.2051 -0.8123
-0.7565 3.5831 3.1995
Au Ni Pt
2 1 1
Cartesian
-7.7416 4.1708 -3.1858
-6.4643 5.8194 -0.0767
-4.2987 3.8698 -0.0511
-2.0391 1.9304 0.0805
```

# 14
A relaxed structure of KHgP. Source: the Alexandria database, functional PBE.

## Properties
The calculated volume is 391.5 Å³ per cell. As for the formation energy: -0.21 eV/atom. Its space-group type is Fddd, No. 70.

Geometry as POSCAR:
```
KHgP
1.0
-6.2410 5.1176 -2.8329
-4.2923 5.4501 4.7212
1.5994 7.5617 -1.1093
P K Hg
4 4 4
Cartesian
-3.6176 10.9543 1.9320
-3.0827 2.6428 -1.3477
-1.3842 6.4219 1.7372
-5.3161 7.1751 -1.1531
-0.0257 7.9644 -0.7078
-8.3257 13.9998 0.9858
-8.9076 10.1649 1.4866
-5.0751 13.1944 0.1827
-2.5505 10.5794 -0.2625
-5.4962 9.5236 2.6528
-6.4707 9.3573 -1.1244
-3.3502 6.7985 0.2921
```

# 15
A relaxed structure of La7Tb3Pm2. Source: the Alexandria database, functional PBE.

## Properties
The calculated volume is 422.4 Å³ per cell. As for the formation energy: 0.06 eV/atom. Its space-group type is P2/m, No. 10.

Geometry as POSCAR:
```
La7Tb3Pm2
1.0
3.6047 0.0000 0.0000
0.0000 6.5266 0.8160
0.0000 2.5979 18.2785
La Tb Pm
7 3 2
Cartesian
1.8024 2.8187 9.4974
1.8024 6.3058 9.5971
0.0000 4.0467 3.4938
0.0000 0.0000 0.0000
0.0000 5.0778 15.6007
1.8024 8.3299 15.9110
1.8024 0.7945 3.1835
1.8024 3.2633 0.4080
0.0000 1.6466 6.2709
0.0000 7.4779 12.8237
1.8024 4.8348 6.5424
1.8024 4.2896 12.5521
```

# 16
A relaxed structure of Rb2FeAsS4. Source: the Alexandria database, functional PBE.

## Properties
The total energy is -4.5528 eV/atom. The calculated volume is 498.7 Å³ per cell. Its space-group type is Fddd, No. 70.

Geometry as POSCAR:
```
Rb2FeAsS4
1.0
6.1490 0.0000 0.0000
3.0745 6.8883 0.0000
3.0745 0.0000 11.7742
Rb Fe As S
4 2 2 8
Cartesian
3.0745 0.0000 7.5648
6.1490 0.0000 4.2093
7.6863 3.4442 10.0964
7.6863 3.4442 1.6778
7.6863 3.4442 5.8871
0.0000 0.0000 0.0000
4.6118 3.4442 5.8871
3.0745 0.0000 0.0000
4.4985 5.5886 1.2184
4.4985 1.2997 10.5558
10.8740 5.5886 10.5558
4.7250 1.2997 1.2184
6.2623 4.7439 4.6687
6.2623 2.1444 7.1055
9.1103 4.7439 7.1055
2.9612 2.1444 4.6687
```